Entry 1:
{"formula": "MgCdOs2", "functional": "PBEsol", "state": "optimized geometry", "lattice_angstrom": [[4.337, 0.000, 0.000], [0.000, 4.337, 0.000], [0.000, 0.000, 6.603]], "species": ["Mg", "Mg", "Cd", "Cd", "Os", "Os", "Os", "Os"], "fractional_positions": [[0.000, 0.000, 0.000], [0.500, 0.500, 0.500], [0.000, 0.500, 0.250], [0.500, 0.000, 0.750], [0.000, 0.000, 0.500], [0.000, 0.500, 0.750], [0.500, 0.000, 0.250], [0.500, 0.500, 0.000]], "formation_energy_ev_per_fu": 1.9, "space_group": "No. 119", "e_tot_ev_per_atom": -6.368, "e_above_lowest_polymorph_mev_per_atom": 344, "n_ef_per_ev_cell": 5.221}

***

Entry 2:
{"formula": "MgCdOs2", "functional": "PBEsol", "state": "optimized geometry", "lattice_angstrom": [[2.846, 0.000, 0.000], [0.000, 2.846, 0.000], [0.000, 0.000, 8.122]], "species": ["Mg", "Cd", "Os", "Os"], "fractional_positions": [[0.000, 0.000, 0.000], [0.500, 0.500, 0.700], [0.000, 0.000, 0.438], [0.500, 0.500, 0.241]], "formation_energy_ev_per_fu": 0.5, "space_group": "No. 99", "e_tot_ev_per_atom": -6.712, "e_above_lowest_polymorph_mev_per_atom": 0, "n_ef_per_ev_cell": 2.130}

***

Entry 3:
{"formula": "MgCdOs2", "functional": "PBEsol", "state": "optimized geometry", "lattice_angstrom": [[2.846, 0.000, 0.000], [0.000, 3.651, 0.000], [0.000, 0.000, 6.223]], "species": ["Mg", "Cd", "Os", "Os"], "fractional_positions": [[0.000, 0.000, 0.000], [0.500, 0.500, 0.727], [0.000, 0.000, 0.447], [0.500, 0.500, 0.257]], "formation_energy_ev_per_fu": 1.1, "space_group": "No. 25", "e_tot_ev_per_atom": -6.552, "e_above_lowest_polymorph_mev_per_atom": 161, "n_ef_per_ev_cell": 1.959}

***

Entry 4:
{"formula": "MgCd2Os", "functional": "PBEsol", "state": "optimized geometry", "lattice_angstrom": [[4.089, 0.000, 0.000], [0.000, 4.089, 0.000], [0.000, 0.000, 4.102]], "species": ["Mg", "Cd", "Cd", "Os"], "fractional_positions": [[0.000, 0.000, 0.000], [0.000, 0.500, 0.500], [0.500, 0.000, 0.500], [0.500, 0.500, 0.000]], "formation_energy_ev_per_fu": 1.2, "space_group": "No. 123", "e_tot_ev_per_atom": -3.784, "n_ef_per_ev_cell": 2.694}

***

Entry 5:
{"formula": "Mg2CdOs", "functional": "PBEsol", "state": "optimized geometry", "lattice_angstrom": [[2.926, 0.000, 0.000], [-1.463, 2.534, 0.000], [0.000, 0.000, 28.973]], "species": ["Mg", "Mg", "Mg", "Mg", "Mg", "Mg", "Cd", "Cd", "Cd", "Os", "Os", "Os"], "fractional_positions": [[0.000, 0.000, 0.000], [0.000, 0.000, 0.241], [0.333, 0.667, 0.667], [0.333, 0.667, 0.907], [0.667, 0.333, 0.333], [0.667, 0.333, 0.574], [0.000, 0.000, 0.754], [0.333, 0.667, 0.421], [0.667, 0.333, 0.088], [0.000, 0.000, 0.501], [0.333, 0.667, 0.168], [0.667, 0.333, 0.834]], "formation_energy_ev_per_fu": 1.3, "space_group": "No. 160", "e_tot_ev_per_atom": -3.884, "n_ef_per_ev_cell": 8.696}

***

Entry 6:
{"formula": "MgCdOs2", "functional": "PBEsol", "state": "optimized geometry", "lattice_angstrom": [[2.932, 0.000, 0.000], [0.000, 4.573, 0.000], [0.000, 0.000, 9.327]], "species": ["Mg", "Mg", "Cd", "Cd", "Os", "Os", "Os", "Os"], "fractional_positions": [[0.000, 0.000, 0.000], [0.500, 0.500, 0.500], [0.000, 0.000, 0.500], [0.500, 0.500, 0.000], [0.000, 0.500, 0.253], [0.000, 0.500, 0.747], [0.500, 0.000, 0.247], [0.500, 0.000, 0.753]], "formation_energy_ev_per_fu": 2.0, "space_group": "No. 71", "e_tot_ev_per_atom": -6.334, "e_above_lowest_polymorph_mev_per_atom": 378, "n_ef_per_ev_cell": 6.782}

***

Entry 7:
{"formula": "Mg2CdOs", "functional": "PBEsol", "state": "optimized geometry", "lattice_angstrom": [[3.373, 0.000, 0.000], [0.000, 3.373, 0.000], [0.000, 0.000, 6.166]], "species": ["Mg", "Mg", "Cd", "Os"], "fractional_positions": [[0.000, 0.000, 0.000], [0.500, 0.500, 0.284], [0.500, 0.500, 0.732], [0.000, 0.000, 0.483]], "formation_energy_ev_per_fu": 1.3, "space_group": "No. 99", "e_tot_ev_per_atom": -3.885, "n_ef_per_ev_cell": 3.140}

***

Entry 8:
{"formula": "Mg2CdOs", "functional": "PBEsol", "state": "optimized geometry", "lattice_angstrom": [[2.881, 0.000, 0.000], [0.000, 2.881, 0.000], [0.000, 0.000, 8.570]], "species": ["Mg", "Mg", "Cd", "Os"], "fractional_positions": [[0.000, 0.000, 0.217], [0.000, 0.000, 0.783], [0.500, 0.500, 0.500], [0.500, 0.500, 0.000]], "formation_energy_ev_per_fu": 0.8, "space_group": "No. 123", "e_tot_ev_per_atom": -4.016, "n_ef_per_ev_cell": 3.262}

***

Entry 9:
{"formula": "Mg2CdP", "functional": "PBEsol", "state": "optimized geometry", "lattice_angstrom": [[3.754, 0.000, 0.000], [0.000, 3.909, 0.000], [0.000, 0.000, 10.843]], "species": ["Mg", "Mg", "Mg", "Mg", "Cd", "Cd", "P", "P"], "fractional_positions": [[0.000, 0.000, 0.000], [0.000, 0.500, 0.500], [0.500, 0.000, 0.311], [0.500, 0.500, 0.811], [0.500, 0.000, 0.591], [0.500, 0.500, 0.091], [0.000, 0.000, 0.765], [0.000, 0.500, 0.265]], "formation_energy_ev_per_fu": -0.9, "space_group": "No. 38", "e_tot_ev_per_atom": -2.841, "e_above_lowest_polymorph_mev_per_atom": 0, "n_ef_per_ev_cell": 1.759}

***

Entry 10:
{"formula": "Mg2CdP", "functional": "PBEsol", "state": "optimized geometry", "lattice_angstrom": [[6.826, 0.000, 0.000], [0.000, 3.915, 0.000], [-2.200, 0.000, 6.538]], "species": ["Mg", "Mg", "Mg", "Mg", "Cd", "Cd", "P", "P"], "fractional_positions": [[0.227, 0.000, 0.184], [0.273, 0.500, 0.816], [0.727, 0.500, 0.184], [0.773, 0.000, 0.816], [0.000, 0.000, 0.500], [0.500, 0.500, 0.500], [0.000, 0.500, 0.000], [0.500, 0.000, 0.000]], "formation_energy_ev_per_fu": -0.9, "space_group": "No. 12", "e_tot_ev_per_atom": -2.830, "e_above_lowest_polymorph_mev_per_atom": 11, "n_ef_per_ev_cell": 2.480}

***

Entry 11:
{"formula": "Mg2CdP2", "functional": "PBEsol", "state": "optimized geometry", "lattice_angstrom": [[4.619, 0.000, 0.000], [0.000, 4.619, 0.000], [0.000, 0.000, 9.320]], "species": ["Mg", "Mg", "Mg", "Mg", "Cd", "Cd", "P", "P", "P", "P"], "fractional_positions": [[0.000, 0.500, 0.250], [0.000, 0.500, 0.750], [0.500, 0.000, 0.250], [0.500, 0.000, 0.750], [0.000, 0.000, 0.000], [0.500, 0.500, 0.500], [0.000, 0.000, 0.382], [0.000, 0.000, 0.618], [0.500, 0.500, 0.118], [0.500, 0.500, 0.882]], "formation_energy_ev_per_fu": -1.4, "space_group": "No. 139", "e_tot_ev_per_atom": -3.526, "n_ef_per_ev_cell": 0.989}

***

Entry 12:
{"formula": "MgCd2Pb", "functional": "PBEsol", "state": "optimized geometry", "lattice_angstrom": [[10.223, 0.000, 0.000], [0.000, 3.368, 0.000], [-1.028, 0.000, 5.450]], "species": ["Mg", "Mg", "Cd", "Cd", "Cd", "Cd", "Pb", "Pb"], "fractional_positions": [[0.000, 0.000, 0.000], [0.500, 0.500, 0.000], [0.243, 0.500, 0.246], [0.488, 0.000, 0.461], [0.743, 0.000, 0.246], [0.988, 0.500, 0.461], [0.246, 0.000, 0.748], [0.746, 0.500, 0.748]], "formation_energy_ev_per_fu": 0.0, "space_group": "No. 8", "e_tot_ev_per_atom": -2.038, "e_above_lowest_polymorph_mev_per_atom": 13, "n_ef_per_ev_cell": 3.366}

***

Entry 13:
{"formula": "Mg2CdPb", "functional": "PBEsol", "state": "optimized geometry", "lattice_angstrom": [[6.575, 0.000, 0.000], [0.000, 8.479, 0.000], [0.000, 0.000, 3.307]], "species": ["Mg", "Mg", "Mg", "Mg", "Cd", "Cd", "Pb", "Pb"], "fractional_positions": [[0.250, 0.250, 0.000], [0.250, 0.750, 0.000], [0.750, 0.250, 0.000], [0.750, 0.750, 0.000], [0.000, 0.000, 0.500], [0.500, 0.500, 0.500], [0.000, 0.500, 0.500], [0.500, 0.000, 0.500]], "formation_energy_ev_per_fu": -0.3, "space_group": "No. 65", "e_tot_ev_per_atom": -2.229, "n_ef_per_ev_cell": 3.070}

***

Entry 14:
{"formula": "MgCd2Pb", "functional": "PBEsol", "state": "optimized geometry", "lattice_angstrom": [[4.537, 0.000, 0.000], [0.000, 4.537, 0.000], [0.000, 0.000, 9.111]], "species": ["Mg", "Mg", "Cd", "Cd", "Cd", "Cd", "Pb", "Pb"], "fractional_positions": [[0.000, 0.000, 0.000], [0.500, 0.500, 0.500], [0.000, 0.000, 0.500], [0.000, 0.500, 0.750], [0.500, 0.000, 0.250], [0.500, 0.500, 0.000], [0.000, 0.500, 0.250], [0.500, 0.000, 0.750]], "formation_energy_ev_per_fu": 0.0, "space_group": "No. 119", "e_tot_ev_per_atom": -2.040, "e_above_lowest_polymorph_mev_per_atom": 11, "n_ef_per_ev_cell": 3.101}

***

Entry 15:
{"formula": "MgCd4Pb", "functional": "PBEsol", "state": "optimized geometry", "lattice_angstrom": [[0.000, 4.115, 4.115], [4.115, 0.000, 4.115], [4.115, 4.115, 0.000]], "species": ["Mg", "Cd", "Cd", "Cd", "Cd", "Pb"], "fractional_positions": [[0.000, 0.000, 0.000], [0.124, 0.625, 0.625], [0.625, 0.124, 0.625], [0.625, 0.625, 0.124], [0.625, 0.625, 0.625], [0.250, 0.250, 0.250]], "formation_energy_ev_per_fu": 0.1, "space_group": "No. 216", "e_tot_ev_per_atom": -1.739, "n_ef_per_ev_cell": 2.330}

***

Entry 16:
{"formula": "Mg2CdPb", "functional": "PBEsol", "state": "optimized geometry", "lattice_angstrom": [[3.315, 0.000, 0.000], [0.000, 4.187, 0.000], [0.000, 0.000, 6.612]], "species": ["Mg", "Mg", "Cd", "Pb"], "fractional_positions": [[0.000, 0.000, 0.236], [0.000, 0.000, 0.764], [0.500, 0.500, 0.000], [0.500, 0.500, 0.500]], "formation_energy_ev_per_fu": -0.3, "space_group": "No. 47", "e_tot_ev_per_atom": -2.241, "n_ef_per_ev_cell": 1.487}

***

Entry 17:
{"formula": "MgCd2Pb", "functional": "PBEsol", "state": "optimized geometry", "lattice_angstrom": [[6.138, 0.000, 0.000], [0.000, 9.246, 0.000], [0.000, 0.000, 3.329]], "species": ["Mg", "Mg", "Cd", "Cd", "Cd", "Cd", "Pb", "Pb"], "fractional_positions": [[0.000, 0.000, 0.000], [0.500, 0.500, 0.000], [0.250, 0.250, 0.500], [0.250, 0.750, 0.500], [0.750, 0.250, 0.500], [0.750, 0.750, 0.500], [0.000, 0.500, 0.000], [0.500, 0.000, 0.000]], "formation_energy_ev_per_fu": 0.0, "space_group": "No. 65", "e_tot_ev_per_atom": -2.033, "e_above_lowest_polymorph_mev_per_atom": 17, "n_ef_per_ev_cell": 3.459}

***

Entry 18:
{"formula": "Mg2CdPb", "functional": "PBEsol", "state": "optimized geometry", "lattice_angstrom": [[10.711, 0.000, 0.000], [0.000, 3.339, 0.000], [-0.933, 0.000, 5.228]], "species": ["Mg", "Mg", "Mg", "Mg", "Cd", "Cd", "Pb", "Pb"], "fractional_positions": [[0.000, 0.000, 0.000], [0.248, 0.000, 0.717], [0.500, 0.500, 0.000], [0.748, 0.500, 0.717], [0.243, 0.500, 0.194], [0.743, 0.000, 0.194], [0.496, 0.000, 0.496], [0.996, 0.500, 0.496]], "formation_energy_ev_per_fu": -0.2, "space_group": "No. 8", "e_tot_ev_per_atom": -2.215, "n_ef_per_ev_cell": 3.134}

***

Entry 19:
{"formula": "MgCd2Pb", "functional": "PBEsol", "state": "optimized geometry", "lattice_angstrom": [[3.358, 0.000, 0.000], [0.000, 5.406, 0.000], [0.000, 0.000, 10.543]], "species": ["Mg", "Mg", "Cd", "Cd", "Cd", "Cd", "Pb", "Pb"], "fractional_positions": [[0.000, 0.000, 0.000], [0.500, 0.500, 0.500], [0.000, 0.000, 0.526], [0.000, 0.500, 0.263], [0.500, 0.000, 0.763], [0.500, 0.500, 0.026], [0.000, 0.500, 0.762], [0.500, 0.000, 0.262]], "formation_energy_ev_per_fu": 0.1, "space_group": "No. 44", "e_tot_ev_per_atom": -2.005, "e_above_lowest_polymorph_mev_per_atom": 45, "n_ef_per_ev_cell": 3.306}

***

Entry 20:
{"formula": "MgCd2Pb", "functional": "PBEsol", "state": "optimized geometry", "lattice_angstrom": [[3.360, 0.000, 0.000], [-1.680, 2.910, 0.000], [0.000, 0.000, 29.333]], "species": ["Mg", "Mg", "Mg", "Cd", "Cd", "Cd", "Cd", "Cd", "Cd", "Pb", "Pb", "Pb"], "fractional_positions": [[0.000, 0.000, 0.000], [0.333, 0.667, 0.667], [0.667, 0.333, 0.333], [0.000, 0.000, 0.256], [0.000, 0.000, 0.744], [0.333, 0.667, 0.411], [0.333, 0.667, 0.922], [0.667, 0.333, 0.078], [0.667, 0.333, 0.589], [0.000, 0.000, 0.500], [0.333, 0.667, 0.167], [0.667, 0.333, 0.833]], "formation_energy_ev_per_fu": 0.0, "space_group": "No. 166", "e_tot_ev_per_atom": -2.022, "e_above_lowest_polymorph_mev_per_atom": 29, "n_ef_per_ev_cell": 5.237}